# U2Zn16H PBE-GGA relaxed
data_U2Zn16H
_chemical_formula_sum 'U2 Zn16 H1'
_symmetry_space_group_name_H-M 'P 1'
_symmetry_Int_Tables_number 1
_symmetry_space_group_name_Hall 'P 1'
_cell_length_a 6.761
_cell_length_b 6.761
_cell_length_c 6.761
_cell_angle_alpha 83.05
_cell_angle_beta 83.05
_cell_angle_gamma 83.05
loop_
_atom_site_label
_atom_site_type_symbol
_atom_site_fract_x
_atom_site_fract_y
_atom_site_fract_z
_atom_site_occupancy
U1 U 0.664 0.664 0.664 1
U2 U 0.340 0.340 0.340 1
Zn1 Zn 0.709 0.004 0.300 1
Zn2 Zn 0.004 0.300 0.709 1
Zn3 Zn 0.300 0.709 0.004 1
Zn4 Zn 0.004 0.709 0.300 1
Zn5 Zn 0.709 0.300 0.004 1
Zn6 Zn 0.300 0.004 0.709 1
Zn7 Zn 0.350 0.862 0.350 1
Zn8 Zn 0.862 0.350 0.350 1
Zn9 Zn 0.350 0.350 0.862 1
Zn10 Zn 0.642 0.184 0.642 1
Zn11 Zn 0.184 0.642 0.642 1
Zn12 Zn 0.642 0.642 0.184 1
Zn13 Zn 0.984 0.541 0.984 1
Zn14 Zn 0.541 0.984 0.984 1
Zn15 Zn 0.984 0.984 0.541 1
Zn16 Zn 0.103 0.103 0.103 1
H1 H 0.826 0.826 0.826 1
# - space-group type = R3m
# - N(E_F) (states/eV/cell) = 20.70
# - total DFT energy (no corrections) (eV per atom) = -2.416